The following is a PBE calculation of a relaxed Li2ZrCr crystal, from Alexandria.

```
4
Lattice="2.881 0.000 0.000 0.000 2.881 0.000 0.000 0.000 9.151" Properties=species:S:1:pos:R:3 pbc="T T T"
Li 0.000 0.000 2.081
Li 0.000 0.000 7.070
Zr 1.440 1.440 4.575
Cr 1.440 1.440 0.000
```

Output
Energy relative to the elements ... 54 kJ/mol of atoms
Excess energy over the best structure of this formula in the dataset ... 245 meV/atom
V ... 19.0 A^3/atom
SG ... P4/mmm, No. 123
Density ... 3.44 g/cm³
Raw total energy ... -19.77 eV/cell

The following is a PBE calculation of a relaxed MnPBr2 crystal, from Alexandria.

```
4
Lattice="3.280 0.000 0.000 0.000 3.280 0.000 0.000 0.000 10.429" Properties=species:S:1:pos:R:3 pbc="T T T"
Mn 0.000 0.000 0.000
P 0.000 0.000 5.215
Br 1.640 1.640 1.655
Br 1.640 1.640 8.774
```

Output
Excess energy over the best structure of this formula in the dataset ... 636 meV/atom
ΔE_f (raw) ... 0.423 eV per atom
V ... 28.0 A^3/atom
SG ... P4/mmm, No. 123
Density ... 3.64 g/cm³
Raw total energy ... -16.23 eV/cell

The following is a PBE calculation of a relaxed HfPd5 crystal, from Alexandria.

```
12
Lattice="8.933 0.000 0.000 0.000 3.978 0.000 -1.745 0.000 5.391" Properties=species:S:1:pos:R:3 pbc="T T T"
Hf 0.000 0.000 0.000
Hf 4.466 1.989 0.000
Pd -0.873 0.000 2.696
Pd 0.903 1.989 1.766
Pd 0.025 1.989 4.474
Pd 2.696 0.000 0.917
Pd 1.819 0.000 3.625
Pd 3.594 1.989 2.696
Pd 5.369 0.000 1.766
Pd 4.491 0.000 4.474
Pd 7.163 1.989 0.917
Pd 6.285 1.989 3.625
```

Output
Energy relative to the elements ... -59 kJ/mol of atoms
Excess energy over the best structure of this formula in the dataset ... 20 meV/atom
V ... 16.0 A^3/atom
SG ... C2/m, No. 12
Density ... 12.32 g/cm³
Raw total energy ... -79.17 eV/cell

The following is a PBE calculation of a relaxed ScNi5Au crystal, from Alexandria.

```
28
Lattice="7.802 0.000 0.000 0.000 4.760 0.000 0.000 0.000 10.151" Properties=species:S:1:pos:R:3 pbc="T T T"
Sc 1.931 1.190 0.607
Sc 1.969 3.570 5.682
Sc 5.832 1.190 4.469
Sc 5.870 3.570 9.544
Ni 0.457 3.570 1.074
Ni 0.555 0.009 3.214
Ni 0.555 2.371 3.214
Ni 0.750 1.190 5.280
Ni 1.434 1.190 7.569
Ni 2.467 3.570 2.493
Ni 3.151 3.570 0.204
Ni 3.346 2.389 8.290
Ni 3.346 4.752 8.290
Ni 3.444 1.190 6.149
Ni 4.358 3.570 4.002
Ni 4.456 0.009 1.861
Ni 4.456 2.371 1.861
Ni 4.650 1.190 9.947
Ni 5.334 1.190 7.658
Ni 6.368 3.570 2.582
Ni 7.052 3.570 4.871
Ni 7.247 2.389 6.937
Ni 7.247 4.752 6.937
Ni 7.345 1.190 9.077
Au 0.997 3.570 8.746
Au 2.904 1.190 3.671
Au 4.898 3.570 6.480
Au 6.805 1.190 1.405
```

Output
Energy relative to the elements ... -23 kJ/mol of atoms
V ... 13.5 A^3/atom
SG ... Pnma, No. 62
Density ... 9.43 g/cm³
Raw total energy ... -160.62 eV/cell